Entry 1:
A geometry-optimized KAlCdHg2 structure, computed with PBE.

Cell lengths 5.3575, 5.3575, 5.4057 Å; angles 90.00, 90.00, 90.00 degrees
Closest atoms and distances in Å follow each position.
Fractional positions:
Hg1 0.5000 0.0000 0.0000  2 Al 2.68
Hg2 0.0000 0.5000 0.0000  2 Al 2.68
Cd1 0.0000 0.0000 0.5000  2 Al 2.70
K1 0.5000 0.5000 0.5000  4 Cd 3.79, 8 Hg 3.81
Al1 0.0000 0.0000 0.0000  4 Hg 2.68, 2 Cd 2.70

Values from the calculation:
Its energy relative to the elements is -0.22 eV per formula unit. The value obtained for the magnetic moment is 0.00 μB/atom.

***

Entry 2:
A geometry-optimized KAlCd2Hg structure, computed with PBE.

Cell lengths 5.4049, 5.4049, 5.3467 Å; angles 90.00, 90.00, 90.00 degrees
Closest atoms and distances in Å follow each position.
Fractional positions:
Hg1 0.0000 0.0000 0.5000  2 Al 2.67
Cd1 0.5000 0.0000 0.0000  2 Al 2.70
Cd2 0.0000 0.5000 0.0000  2 Al 2.70
K1 0.5000 0.5000 0.5000  8 Cd 3.80, 4 Hg 3.82
Al1 0.0000 0.0000 0.0000  2 Hg 2.67, 4 Cd 2.70

Values from the calculation:
Its energy relative to the elements is 0.12 eV per formula unit. The value obtained for the magnetic moment is 0.00 μB/atom.

***

Entry 3:
A geometry-optimized La2Al3CdHg4 structure, computed with PBE.

Cell lengths 4.5890, 4.5890, 11.3243 Å; angles 90.00, 90.00, 90.00 degrees
Closest atoms and distances in Å follow each position.
Fractional positions:
Al1 0.5000 0.0000 0.8701  5 Hg 2.56-2.73
Al2 0.0000 0.5000 0.1299  5 Hg 2.56-2.73
Al3 0.0000 0.0000 0.5000  4 Hg 2.81
La1 0.5000 0.0000 0.2404  6 Al 3.48-3.73, 8 Hg 3.50-3.56, 2 Cd 3.73
La2 0.0000 0.5000 0.7596  6 Al 3.48-3.73, 8 Hg 3.50-3.56, 2 Cd 3.73
Hg1 0.5000 0.0000 0.6437  3 Al 2.56-2.81, 2 Cd 2.81
Hg2 0.5000 0.5000 0.0000  4 Al 2.73
Hg3 0.0000 0.5000 0.3564  3 Al 2.56-2.81, 2 Cd 2.81
Hg4 0.0000 0.0000 0.0000  4 Al 2.73
Cd1 0.5000 0.5000 0.5000  4 Hg 2.81

Values from the calculation:
Its energy relative to the elements is -3.55 eV per formula unit. The value obtained for the magnetic moment is 0.00 μB/atom.

***

Entry 4:
A geometry-optimized La2Al4CdHg3 structure, computed with PBE.

Cell lengths 4.5214, 4.5214, 11.2573 Å; angles 90.00, 90.00, 90.00 degrees
Closest atoms and distances in Å follow each position.
Fractional positions:
Cd1 0.5000 0.5000 0.5000  4 Al 2.74
Hg1 0.0000 0.5000 0.1331  5 Al 2.58-2.71
Hg2 0.0000 0.0000 0.5000  4 Al 2.74
Hg3 0.5000 0.0000 0.8669  5 Al 2.58-2.71
Al1 0.0000 0.5000 0.3621  3 Hg 2.58-2.74, 2 Cd 2.74
Al2 0.5000 0.0000 0.6379  3 Hg 2.58-2.74, 2 Cd 2.74
Al3 0.0000 0.0000 0.0000  4 Hg 2.71
Al4 0.5000 0.5000 0.0000  4 Hg 2.71
La1 0.5000 0.0000 0.2486  8 Al 3.44-3.60, 6 Hg 3.45-3.62, 2 Cd 3.62
La2 0.0000 0.5000 0.7514  8 Al 3.44-3.60, 6 Hg 3.45-3.62, 2 Cd 3.62

Values from the calculation:
Its energy relative to the elements is -3.75 eV per formula unit. The value obtained for the magnetic moment is 0.00 μB/atom.

***

Entry 5:
A geometry-optimized LaAlCdHg structure, computed with PBE.

Cell lengths 5.1904, 5.1904, 5.1904 Å; angles 60.00, 60.00, 60.00 degrees
Closest atoms and distances in Å follow each position.
Fractional positions:
La1 0.2500 0.2500 0.2500  4 Hg 3.18, 4 Al 3.18
Hg1 0.5000 0.5000 0.5000  4 La 3.18, 4 Cd 3.18
Cd1 0.7500 0.7500 0.7500  4 Al 3.18, 4 Hg 3.18
Al1 0.0000 0.0000 0.0000  4 La 3.18, 4 Cd 3.18

Values from the calculation:
Its energy relative to the elements is -1.19 eV per formula unit. The value obtained for the magnetic moment is 0.00 μB/atom.

***

Entry 6:
A geometry-optimized La4AlCdHg2 structure, computed with PBE.

Cell lengths 5.5050, 5.5050, 9.5703 Å; angles 73.29, 73.29, 60.00 degrees
Closest atoms and distances in Å follow each position.
Fractional positions:
La1 0.8711 0.8711 0.3868  3 Al 3.34, 4 Hg 3.38-3.45, 1 Cd 3.49
La2 0.1289 0.1289 0.6132  3 Al 3.34, 4 Hg 3.38-3.45, 1 Cd 3.49
La3 0.3790 0.3790 0.8631  1 Al 3.28, 4 Hg 3.31-3.39, 3 Cd 3.41
La4 0.6210 0.6210 0.1369  1 Al 3.28, 4 Hg 3.31-3.39, 3 Cd 3.41
Hg1 0.7462 0.7462 0.7613  8 La 3.31-3.45
Hg2 0.2538 0.2538 0.2387  8 La 3.31-3.45
Cd1 0.0000 0.0000 0.0000  8 La 3.41-3.49
Al1 0.5000 0.5000 0.5000  8 La 3.28-3.34

Values from the calculation:
Its energy relative to the elements is -3.25 eV per formula unit. The value obtained for the magnetic moment is 0.08 μB/atom.

***

Entry 7:
A geometry-optimized LiAlCdHg structure, computed with PBE.

Cell lengths 4.7647, 4.7647, 4.7647 Å; angles 60.00, 60.00, 60.00 degrees
Closest atoms and distances in Å follow each position.
Fractional positions:
Li1 0.0000 0.0000 0.0000  4 Cd 2.92, 4 Hg 2.92
Cd1 0.7500 0.7500 0.7500  4 Li 2.92, 4 Al 2.92
Al1 0.5000 0.5000 0.5000  4 Hg 2.92, 4 Cd 2.92
Hg1 0.2500 0.2500 0.2500  4 Li 2.92, 4 Al 2.92

Values from the calculation:
Its energy relative to the elements is -0.45 eV per formula unit. The value obtained for the magnetic moment is 0.00 μB/atom.

***

Entry 8:
A geometry-optimized Mg5AlCd2Hg2 structure, computed with PBE.

Cell lengths 3.1164, 12.1462, 12.1462 Å; angles 90.00, 90.00, 90.00 degrees
Closest atoms and distances in Å follow each position.
Fractional positions:
Hg1 0.0000 0.8476 0.3476  6 Mg 2.95-3.05, 1 Cd 3.07, 2 Hg 3.12
Hg2 0.0000 0.6524 0.8476  6 Mg 2.95-3.05, 1 Cd 3.07, 2 Hg 3.12
Hg3 0.0000 0.1524 0.6524  6 Mg 2.95-3.05, 1 Cd 3.07, 2 Hg 3.12
Hg4 0.0000 0.3476 0.1524  6 Mg 2.95-3.05, 1 Cd 3.07, 2 Hg 3.12
Mg1 0.5000 0.5081 0.7005  2 Al 2.89, 2 Hg 2.95, 2 Cd 3.09, 2 Mg 3.12
Mg2 0.5000 0.7995 0.9919  2 Al 2.89, 2 Hg 2.95, 2 Cd 3.09, 2 Mg 3.12
Mg3 0.5000 0.7005 0.4919  2 Al 2.89, 2 Hg 2.95, 2 Cd 3.09, 2 Mg 3.12
Mg4 0.5000 0.9919 0.2005  2 Al 2.89, 2 Hg 2.95, 2 Cd 3.09, 2 Mg 3.12
Mg5 0.5000 0.4919 0.2995  2 Al 2.89, 2 Hg 2.95, 2 Cd 3.09, 2 Mg 3.12
Mg6 0.5000 0.2995 0.5081  2 Al 2.89, 2 Hg 2.95, 2 Cd 3.09, 2 Mg 3.12
Mg7 0.5000 0.5000 0.0000  4 Hg 3.05, 2 Mg 3.12, 4 Cd 3.30
Mg8 0.5000 0.0081 0.7995  2 Al 2.89, 2 Hg 2.95, 2 Cd 3.09, 2 Mg 3.12
Mg9 0.5000 0.0000 0.5000  4 Hg 3.05, 2 Mg 3.12, 4 Cd 3.30
Mg10 0.5000 0.2005 0.0081  2 Al 2.89, 2 Hg 2.95, 2 Cd 3.09, 2 Mg 3.12
Cd1 0.0000 0.3309 0.8309  1 Hg 3.07, 6 Mg 3.09-3.30, 2 Cd 3.12
Cd2 0.0000 0.6691 0.1691  1 Hg 3.07, 6 Mg 3.09-3.30, 2 Cd 3.12
Cd3 0.0000 0.1691 0.3309  1 Hg 3.07, 6 Mg 3.09-3.30, 2 Cd 3.12
Cd4 0.0000 0.8309 0.6691  1 Hg 3.07, 6 Mg 3.09-3.30, 2 Cd 3.12
Al1 0.0000 0.0000 0.0000  8 Mg 2.89, 2 Al 3.12
Al2 0.0000 0.5000 0.5000  8 Mg 2.89, 2 Al 3.12

Values from the calculation:
Its energy relative to the elements is -0.37 eV per formula unit. The value obtained for the magnetic moment is 0.00 μB/atom.